Compound: LaThAgPt
Source: Alexandria
Functional: GGA-PBE
Structure: relaxed

POSCAR file:
```
LaThAgPt
1.0
0.000 3.698 3.698
3.698 0.000 3.698
3.698 3.698 0.000
La Th Ag Pt
1 1 1 1
direct
0.000 0.000 0.000
0.500 0.500 0.500
0.250 0.250 0.250
0.750 0.750 0.750
```

Formation energy ... -0.561 eV/atom
Energy ... -5.87 eV/atom